This record from the Alexandria database describes a relaxed structure of CoIr2OF. The functional is PBE+U.

Computed properties:
- raw total energy (eV per atom) = -4.583
- SG = P4/mmm
- volume (Å³ per atom) = 14.23

The structure in POSCAR format:
```
CoIr2OF
1.0
-3.353 1.894 -1.261
-2.072 -3.800 -0.198
-1.192 0.450 3.847
Ir Co O F
2 1 1 1
direct
0.000 0.000 0.500 Ir
0.500 0.000 0.000 Ir
0.500 0.500 0.500 Co
0.000 0.500 0.000 O
0.000 0.000 0.000 F
```